1.
DFT (PBE) results for MgAuNO after structural relaxation.

Cell lengths 5.966, 6.812, 5.243 Å; angles 90.00, 90.00, 90.00 degrees
Positions (direct):
Au: 0.938 0.936 0.485
Au: 0.562 0.936 0.985
Au: 0.438 0.064 0.485
Au: 0.062 0.064 0.985
N: 0.876 0.830 0.127
N: 0.124 0.170 0.627
N: 0.376 0.170 0.127
N: 0.624 0.830 0.627
Mg: 0.089 0.597 0.980
Mg: 0.589 0.403 0.980
Mg: 0.911 0.403 0.480
Mg: 0.411 0.597 0.480
O: 0.107 0.608 0.611
O: 0.393 0.608 0.111
O: 0.893 0.392 0.111
O: 0.607 0.392 0.611

Computed properties:
The symmetry is No. 29. For the excess energy over the best structure of this formula in the dataset, the calculation gives 0.031 eV/atom.


2.
DFT (PBE) results for MgAuNO after structural relaxation.

Cell lengths 3.086, 5.667, 5.820 Å; angles 90.00, 90.00, 90.00 degrees
Positions (direct):
Au: 0.500 0.544 0.706
Au: 0.500 0.044 0.294
Mg: 0.000 0.517 0.240
Mg: 0.000 0.017 0.760
N: 0.000 0.330 0.569
N: 0.000 0.830 0.431
O: 0.500 0.863 0.900
O: 0.500 0.363 0.100

Computed properties:
The symmetry is No. 26. For the excess energy over the best structure of this formula in the dataset, the calculation gives 0.173 eV/atom.


3.
DFT (PBE) results for MgAuNO after structural relaxation.

Cell lengths 4.393, 6.368, 7.796 Å; angles 90.00, 90.00, 90.00 degrees
Positions (direct):
Au: 0.051 0.500 0.358
Au: 0.551 0.500 0.642
Au: 0.051 0.000 0.642
Au: 0.551 0.000 0.358
Mg: 0.051 0.091 0.114
Mg: 0.551 0.909 0.886
Mg: 0.551 0.409 0.114
Mg: 0.051 0.591 0.886
O: 0.051 0.020 0.369
O: 0.551 0.980 0.631
O: 0.051 0.520 0.631
O: 0.551 0.480 0.369
N: 0.551 0.580 0.889
N: 0.051 0.420 0.111
N: 0.051 0.920 0.889
N: 0.551 0.080 0.111

Computed properties:
The symmetry is No. 57. For the excess energy over the best structure of this formula in the dataset, the calculation gives 0.233 eV/atom.


4.
DFT (PBE) results for MgAuNO after structural relaxation.

Cell lengths 4.640, 4.640, 4.224 Å; angles 90.00, 90.00, 90.00 degrees
Positions (direct):
Mg: 0.750 0.250 0.500
Mg: 0.250 0.750 0.500
Au: 0.750 0.750 0.001
Au: 0.250 0.250 0.999
N: 0.250 0.250 0.499
N: 0.750 0.750 0.501
O: 0.750 0.250 0.000
O: 0.250 0.750 0.000

Computed properties:
The symmetry is No. 129. For the excess energy over the best structure of this formula in the dataset, the calculation gives 0.216 eV/atom.


5.
DFT (PBE) results for Na2MgAu after structural relaxation.

Cell lengths 4.941, 4.941, 4.941 Å; angles 60.00, 60.00, 60.00 degrees
Positions (direct):
Au: 0.750 0.750 0.750
Na: 0.500 0.500 0.500
Na: 0.250 0.250 0.250
Mg: 0.000 0.000 0.000

Computed properties:
The symmetry is No. 216. Its final energy is -2.06 eV/atom.


6.
DFT (PBE) results for Na2MgAu after structural relaxation.

Cell lengths 5.795, 5.795, 5.795 Å; angles 137.49, 137.49, 61.68 degrees
Positions (direct):
Au: 0.500 0.500 0.000
Na: 0.750 0.250 0.500
Na: 0.250 0.750 0.500
Mg: 0.000 0.000 0.000

Computed properties:
The symmetry is No. 139. Its final energy is -2.03 eV/atom.


7.
DFT (PBE) results for Na4MgZnAu2 after structural relaxation.

Cell lengths 4.888, 4.888, 7.015 Å; angles 90.00, 90.00, 90.00 degrees
Positions (direct):
Zn: 0.500 0.500 0.000
Au: 0.500 0.000 0.750
Au: 0.000 0.500 0.250
Na: 0.500 0.000 0.232
Na: 0.000 0.500 0.768
Na: 0.500 0.500 0.500
Na: 0.000 0.000 0.000
Mg: 0.000 0.000 0.500

Computed properties:
The symmetry is No. 115. Its final energy is -2.00 eV/atom.


8.
DFT (PBE) results for MgNbNiAu after structural relaxation.

Cell lengths 4.445, 4.445, 4.445 Å; angles 60.00, 60.00, 60.00 degrees
Positions (direct):
Nb: 0.000 0.000 0.000
Au: 0.500 0.500 0.500
Mg: 0.750 0.750 0.750
Ni: 0.250 0.250 0.250

Computed properties:
The value obtained for the total magnetization is 0.0004 μB/atom. The symmetry is No. 216. For the excess energy over the best structure of this formula in the dataset, the calculation gives 0.069 eV/atom.


| no. | calculated density (g/cm3) |
| --- | --- |
| 1 | 7.83 |
| 2 | 8.20 |
| 3 | 7.65 |
| 4 | 9.18 |
| 5 | 5.20 |
| 6 | 5.05 |
| 7 | 5.70 |
| 8 | 9.97 |